(1)
Entry from the Alexandria database: a relaxed Zr6CoSn crystal (PBE).

Fermi-level density of states   1.005 states/eV per atom
Theoretical density   7.0 g cm⁻³
V   172 Å³ per cell
VASP energy   -7.917 eV per atom

Structure (CIF):
```
data_Zr6CoSn
_symmetry_space_group_name_H-M 'P 1'
_symmetry_Int_Tables_number 1
_symmetry_space_group_name_Hall 'P 1'
_cell_length_a 5.596
_cell_length_b 5.652
_cell_length_c 5.960
_cell_angle_alpha 102.40
_cell_angle_beta 101.31
_cell_angle_gamma 104.28
loop_
_atom_site_label
_atom_site_fract_x
_atom_site_fract_y
_atom_site_fract_z
Zr1 0.113 0.201 0.228
Zr2 0.252 0.786 0.432
Zr3 0.334 0.403 0.758
Zr4 0.666 0.597 0.242
Zr5 0.748 0.214 0.568
Zr6 0.887 0.799 0.772
Co1 0.000 0.500 0.000
Sn1 0.500 0.000 0.000
```

(2)
Entry from the Alexandria database: a relaxed ZrCoSn2 crystal (PBE).

Fermi-level density of states   1.183 states/eV per atom
Theoretical density   7.4 g cm⁻³
V   174 Å³ per cell
VASP energy   -5.676 eV per atom

Structure (CIF):
```
data_ZrCoSn2
_symmetry_space_group_name_H-M 'P 1'
_symmetry_Int_Tables_number 1
_symmetry_space_group_name_Hall 'P 1'
_cell_length_a 10.309
_cell_length_b 10.309
_cell_length_c 10.309
_cell_angle_alpha 156.48
_cell_angle_beta 156.48
_cell_angle_gamma 33.50
loop_
_atom_site_label
_atom_site_fract_x
_atom_site_fract_y
_atom_site_fract_z
Zr1 0.000 0.000 0.000
Zr2 0.750 0.250 0.500
Co1 0.250 0.750 0.500
Co2 0.500 0.500 0.000
Sn1 0.141 0.625 0.016
Sn2 0.375 0.391 0.516
Sn3 0.609 0.125 0.984
Sn4 0.875 0.859 0.484
```

(3)
Entry from the Alexandria database: a relaxed ZrCoSn3 crystal (PBE).

Fermi-level density of states   1.181 states/eV per atom
Theoretical density   5.0 g cm⁻³
V   168 Å³ per cell
VASP energy   -4.518 eV per atom

Structure (CIF):
```
data_ZrCoSn3
_symmetry_space_group_name_H-M 'P 1'
_symmetry_Int_Tables_number 1
_symmetry_space_group_name_Hall 'P 1'
_cell_length_a 5.517
_cell_length_b 5.517
_cell_length_c 5.517
_cell_angle_alpha 90.00
_cell_angle_beta 90.00
_cell_angle_gamma 90.00
loop_
_atom_site_label
_atom_site_fract_x
_atom_site_fract_y
_atom_site_fract_z
Zr1 0.000 0.000 0.000
Co1 0.500 0.500 0.500
Sn1 0.000 0.000 0.500
Sn2 0.000 0.500 0.000
Sn3 0.500 0.000 0.000
```

(4)
Entry from the Alexandria database: a relaxed Zr2CoSn crystal (PBE).

Fermi-level density of states   0.970 states/eV per atom
Theoretical density   7.3 g cm⁻³
V   165 Å³ per cell
VASP energy   -7.115 eV per atom

Structure (CIF):
```
data_Zr2CoSn
_symmetry_space_group_name_H-M 'P 1'
_symmetry_Int_Tables_number 1
_symmetry_space_group_name_Hall 'P 1'
_cell_length_a 6.055
_cell_length_b 6.055
_cell_length_c 6.055
_cell_angle_alpha 103.56
_cell_angle_beta 103.56
_cell_angle_gamma 122.08
loop_
_atom_site_label
_atom_site_fract_x
_atom_site_fract_y
_atom_site_fract_z
Zr1 0.067 0.625 0.942
Zr2 0.375 0.317 0.442
Zr3 0.683 0.125 0.058
Zr4 0.875 0.933 0.558
Co1 0.000 0.000 0.000
Co2 0.750 0.250 0.500
Sn1 0.250 0.750 0.500
Sn2 0.500 0.500 0.000
```